1.
RbSmAl (GGA-PBE, optimized geometry); volume = 37.4 Å³ per atom; total magnetization = 0.3 μB per formula unit; electronic total energy = -0.17497 Ry/atom; crystal system = cubic
1.0
0.000 3.827 3.827
3.827 0.000 3.827
3.827 3.827 0.000
Rb Sm Al
1 1 1
Cartesian
0.000 0.000 0.000 Rb
5.741 5.741 5.741 Sm
3.827 3.827 3.827 Al


2.
KTbNp (GGA-PBE, optimized geometry); volume = 41.0 Å³ per atom; total magnetization = 7.2 μB per formula unit; electronic total energy = -0.32093 Ry/atom; crystal system = cubic
1.0
0.000 3.948 3.948
3.948 0.000 3.948
3.948 3.948 0.000
K Tb Np
1 1 1
Cartesian
0.000 0.000 0.000 K
1.974 1.974 1.974 Tb
5.922 5.922 5.922 Np


3.
BePtNO (GGA-PBE, optimized geometry); volume = 9.9 Å³ per atom; total magnetization = 0.0 μB per formula unit; energy above the lowest structure with this stoichiometry = 0.57 eV/f.u.; crystal system = orthorhombic
1.0
2.718 0.000 0.000
0.000 5.595 0.000
0.000 0.000 5.229
Be Pt N O
2 2 2 2
Cartesian
0.000 0.439 0.000 Be
0.000 5.156 2.614 Be
1.359 2.565 3.322 Pt
1.359 3.031 0.707 Pt
0.000 1.087 3.491 N
0.000 4.509 0.877 N
1.359 1.012 0.609 O
1.359 4.584 3.223 O


4.
TbNd4In5 (GGA-PBE, optimized geometry); volume = 28.5 Å³ per atom; total magnetization = 0.1 μB per formula unit; electronic total energy = -0.31087 Ry/atom; crystal system = tetragonal
1.0
3.844 0.000 0.000
0.000 3.844 0.000
0.000 0.000 19.273
Tb Nd In
1 4 5
Cartesian
0.000 0.000 0.000 Tb
0.000 0.000 3.770 Nd
0.000 0.000 7.683 Nd
0.000 0.000 11.591 Nd
0.000 0.000 15.504 Nd
1.922 1.922 1.801 In
1.922 1.922 5.727 In
1.922 1.922 9.637 In
1.922 1.922 13.546 In
1.922 1.922 17.472 In


5.
LaErTeO2 (GGA-PBE, optimized geometry); volume = 20.3 Å³ per atom; total magnetization = 0.0 μB per formula unit; electronic total energy = -0.55008 Ry/atom; crystal system = tetragonal
1.0
-1.997 1.997 6.359
1.997 -1.997 6.359
1.997 1.997 -6.359
La Er Te O
1 1 1 2
Cartesian
0.000 0.000 0.000 La
0.000 0.000 8.637 Er
0.000 0.000 4.311 Te
1.997 0.000 1.270 O
0.000 1.997 1.270 O


6.
TaBeTcSn (GGA-PBE, optimized geometry); volume = 15.8 Å³ per atom; total magnetization = 0.0 μB per formula unit; energy above the lowest structure with this stoichiometry = 1.13 eV/f.u.; crystal system = cubic
1.0
0.000 3.158 3.158
3.158 0.000 3.158
3.158 3.158 0.000
Ta Be Tc Sn
1 1 1 1
Cartesian
0.000 0.000 0.000 Ta
1.579 1.579 1.579 Be
3.158 3.158 3.158 Tc
4.738 4.738 4.738 Sn


7.
BeCdNO (GGA-PBE, optimized geometry); volume = 10.0 Å³ per atom; energy above the lowest structure with this stoichiometry = 2.23 eV/f.u.; crystal system = tetragonal
1.0
3.128 0.000 0.000
0.000 3.128 0.000
0.000 0.000 8.161
Be Cd N O
2 2 2 2
Cartesian
0.782 2.346 0.000 Be
2.346 0.782 0.000 Be
0.782 0.782 2.356 Cd
2.346 2.346 5.805 Cd
0.782 0.782 7.312 N
2.346 2.346 0.848 N
0.782 2.346 4.080 O
2.346 0.782 4.080 O


8.
Cs2ZrF6 (GGA-PBE, optimized geometry); volume = 17.0 Å³ per atom; total magnetization = 0.0 μB per formula unit; electronic total energy = -0.41875 Ry/atom; crystal system = orthorhombic
1.0
3.061 -7.145 0.000
3.061 7.145 0.000
0.000 0.000 6.995
Cs Zr F
4 2 12
Cartesian
3.061 6.515 5.246 Cs
3.061 3.304 1.749 Cs
3.061 -3.304 5.246 Cs
3.061 -6.515 1.749 Cs
3.061 1.600 5.246 Zr
3.061 -1.600 1.749 Zr
1.588 1.697 3.857 F
1.588 1.697 6.636 F
3.061 3.638 5.246 F
1.588 -1.697 0.359 F
1.588 -1.697 3.138 F
3.061 0.398 1.749 F
3.061 -0.398 5.246 F
4.534 1.697 3.857 F
4.534 1.697 6.636 F
3.061 -3.638 1.749 F
4.534 -1.697 0.359 F
4.534 -1.697 3.138 F


9.
Dy3Ga4 (GGA-PBE, optimized geometry); volume = 22.0 Å³ per atom; total magnetization = 0.0 μB per formula unit; electronic total energy = -0.31457 Ry/atom; crystal system = trigonal
1.0
6.656 3.843 2.008
-6.656 3.843 2.008
0.000 -7.685 2.008
Dy Ga
6 8
Cartesian
-1.703 -1.905 1.426 Dy
-0.798 2.428 1.426 Dy
2.502 -0.522 1.426 Dy
-2.502 0.522 4.599 Dy
0.798 -2.428 4.599 Dy
1.703 1.905 4.599 Dy
0.000 0.000 0.000 Ga
-3.191 0.651 1.730 Ga
1.031 -3.089 1.730 Ga
-2.159 -2.437 4.296 Ga
0.000 0.000 3.013 Ga
2.159 2.437 1.730 Ga
-1.031 3.089 4.296 Ga
3.191 -0.651 4.296 Ga


10.
CsPb2Au2 (GGA-PBE, optimized geometry); volume = 30.5 Å³ per atom; energy above the lowest structure with this stoichiometry = 0.44 eV/f.u.; crystal system = tetragonal
1.0
-2.464 2.464 6.286
2.464 -2.464 6.286
2.464 2.464 -6.286
Cs Pb Au
1 2 2
Cartesian
0.000 0.000 0.000 Cs
2.464 0.000 3.143 Pb
0.000 2.464 3.143 Pb
0.000 0.000 4.873 Au
0.000 0.000 7.698 Au


11.
Rb2Pr2O5 (GGA-PBE, optimized geometry); volume = 17.4 Å³ per atom; total magnetization = 0.1 μB per formula unit; energy above the lowest structure with this stoichiometry = 10.21 eV/f.u.; crystal system = tetragonal
1.0
4.569 0.000 0.000
0.000 4.569 0.000
0.000 0.000 7.504
Rb Pr O
2 2 5
Cartesian
0.000 0.000 1.442 Rb
0.000 0.000 6.063 Rb
2.284 2.284 0.000 Pr
2.284 2.284 3.752 Pr
0.000 0.000 3.752 O
0.000 2.284 1.544 O
0.000 2.284 5.960 O
2.284 0.000 1.544 O
2.284 0.000 5.960 O


12.
TbPIrO (GGA-PBE, optimized geometry); volume = 16.9 Å³ per atom; total magnetization = 0.0 μB per formula unit; energy above the lowest structure with this stoichiometry = 2.74 eV/f.u.; crystal system = orthorhombic
1.0
3.393 0.000 0.000
0.000 7.587 0.000
0.000 0.000 5.258
Tb P Ir O
2 2 2 2
Cartesian
0.000 1.580 0.000 Tb
0.000 6.007 2.629 Tb
0.000 3.162 2.594 P
0.000 4.426 5.223 P
1.696 1.667 2.608 Ir
1.696 5.920 5.237 Ir
1.696 0.391 4.564 O
1.696 7.196 1.935 O